Entry 1:
An optimized crystal structure of TbGaPO, computed with PBE-GGA.

Cell lengths 5.6646, 5.6646, 4.6601 Å; angles 90.00, 90.00, 90.00 degrees
Atoms (fractional coordinates):
Tb: 0.2500 0.7500 0.0000
Tb: 0.7500 0.2500 0.0000
Ga: 0.2500 0.2500 0.4980
Ga: 0.7500 0.7500 0.5020
P: 0.2500 0.2500 0.9978
P: 0.7500 0.7500 0.0022
O: 0.2500 0.7500 0.5000
O: 0.7500 0.2500 0.5000

Output
ΔE to the lowest computed polymorph: 0.2888 eV per atom
total energy: -46.7 eV for the cell shown


Entry 2:
An optimized crystal structure of TmGaPO, computed with PBE-GGA.

Cell lengths 4.4035, 4.5922, 6.2339 Å; angles 90.00, 90.00, 90.00 degrees
Atoms (fractional coordinates):
Tm: 0.0000 0.1905 0.0000
Tm: 0.0000 0.8095 0.5000
Ga: 0.5000 0.3603 0.3440
Ga: 0.5000 0.6397 0.8440
P: 0.5000 0.1369 0.6950
P: 0.5000 0.8631 0.1950
O: 0.0000 0.3638 0.3373
O: 0.0000 0.6362 0.8373

Output
ΔE to the lowest computed polymorph: 0.1546 eV per atom
total energy: -47.3 eV for the cell shown


Entry 3:
An optimized crystal structure of TmGaPO, computed with PBE-GGA.

Cell lengths 4.2942, 4.2942, 8.9634 Å; angles 90.00, 90.00, 90.00 degrees
Atoms (fractional coordinates):
Tm: 0.2500 0.7500 0.0000
Tm: 0.7500 0.2500 0.0000
Ga: 0.2500 0.2500 0.4464
Ga: 0.7500 0.7500 0.5536
P: 0.2500 0.2500 0.1786
P: 0.7500 0.7500 0.8214
O: 0.2500 0.7500 0.5000
O: 0.7500 0.2500 0.5000

Output
ΔE to the lowest computed polymorph: 0.8513 eV per atom
total energy: -41.8 eV for the cell shown


Entry 4:
An optimized crystal structure of TmGaPO, computed with PBE-GGA.

Cell lengths 4.0815, 4.0815, 8.0947 Å; angles 90.00, 90.00, 90.00 degrees
Atoms (fractional coordinates):
Tm: 0.2500 0.2500 0.1148
Tm: 0.7500 0.7500 0.8852
Ga: 0.2500 0.7500 0.5000
Ga: 0.7500 0.2500 0.5000
P: 0.2500 0.2500 0.6719
P: 0.7500 0.7500 0.3281
O: 0.2500 0.7500 0.0000
O: 0.7500 0.2500 0.0000

Output
ΔE to the lowest computed polymorph: 0.0000 eV per atom
total energy: -48.6 eV for the cell shown


Entry 5:
An optimized crystal structure of TmGaPO, computed with PBE-GGA.

Cell lengths 3.9088, 6.7709, 5.6510 Å; angles 90.00, 90.00, 90.00 degrees
Atoms (fractional coordinates):
Tm: 0.0000 0.1881 0.0000
Tm: 0.0000 0.8119 0.5000
Ga: 0.5000 0.3834 0.5975
Ga: 0.5000 0.6166 0.0975
P: 0.0000 0.2135 0.4879
P: 0.0000 0.7865 0.9879
O: 0.5000 0.3367 0.9712
O: 0.5000 0.6633 0.4712

Output
ΔE to the lowest computed polymorph: 0.1966 eV per atom
total energy: -47.0 eV for the cell shown


Entry 6:
An optimized crystal structure of TmGaPO, computed with PBE-GGA.

Cell lengths 4.0022, 4.0022, 8.4808 Å; angles 90.00, 90.00, 90.00 degrees
Atoms (fractional coordinates):
Tm: 0.2500 0.2500 0.1160
Tm: 0.7500 0.7500 0.8840
Ga: 0.2500 0.7500 0.5000
Ga: 0.7500 0.2500 0.5000
P: 0.2500 0.2500 0.6743
P: 0.7500 0.7500 0.3257
O: 0.2500 0.7500 0.0000
O: 0.7500 0.2500 0.0000

Output
ΔE to the lowest computed polymorph: 0.0019 eV per atom
total energy: -48.5 eV for the cell shown


Entry 7:
An optimized crystal structure of ZnGaPO, computed with PBE-GGA.

Cell lengths 3.6133, 6.0077, 5.8520 Å; angles 90.00, 90.00, 90.00 degrees
Atoms (fractional coordinates):
Zn: 0.0000 0.1447 0.0000
Zn: 0.0000 0.8553 0.5000
Ga: 0.5000 0.3126 0.4384
Ga: 0.5000 0.6874 0.9384
P: 0.5000 0.3149 0.8346
P: 0.5000 0.6851 0.3346
O: 0.0000 0.1706 0.3503
O: 0.0000 0.8294 0.8503

Output
ΔE to the lowest computed polymorph: 0.0832 eV per atom
total energy: -35.4 eV for the cell shown


Entry 8:
An optimized crystal structure of ZnGaPO, computed with PBE-GGA.

Cell lengths 3.7233, 6.0461, 5.7155 Å; angles 90.00, 90.00, 90.00 degrees
Atoms (fractional coordinates):
Zn: 0.0000 0.1928 0.0000
Zn: 0.0000 0.8072 0.5000
Ga: 0.5000 0.3582 0.5545
Ga: 0.5000 0.6418 0.0545
P: 0.0000 0.1859 0.4076
P: 0.0000 0.8141 0.9076
O: 0.5000 0.3521 0.8978
O: 0.5000 0.6479 0.3978

Output
ΔE to the lowest computed polymorph: 0.0000 eV per atom
total energy: -36.0 eV for the cell shown


Entry 9:
An optimized crystal structure of ZnGaPO, computed with PBE-GGA.

Cell lengths 3.6896, 3.6896, 8.5087 Å; angles 90.00, 90.00, 90.00 degrees
Atoms (fractional coordinates):
Zn: 0.2500 0.7500 0.0000
Zn: 0.7500 0.2500 0.0000
Ga: 0.2500 0.2500 0.3963
Ga: 0.7500 0.7500 0.6037
P: 0.2500 0.2500 0.8126
P: 0.7500 0.7500 0.1874
O: 0.2500 0.7500 0.5000
O: 0.7500 0.2500 0.5000

Output
ΔE to the lowest computed polymorph: 0.3699 eV per atom
total energy: -33.1 eV for the cell shown


Entry 10:
An optimized crystal structure of ZnGaPO, computed with PBE-GGA.

Cell lengths 3.9865, 3.9865, 8.7997 Å; angles 90.00, 90.00, 90.00 degrees
Atoms (fractional coordinates):
Zn: 0.2500 0.2500 0.0517
Zn: 0.7500 0.7500 0.9483
Ga: 0.2500 0.7500 0.5000
Ga: 0.7500 0.2500 0.5000
P: 0.2500 0.2500 0.3389
P: 0.7500 0.7500 0.6611
O: 0.2500 0.7500 0.0000
O: 0.7500 0.2500 0.0000

Output
ΔE to the lowest computed polymorph: 0.2744 eV per atom
total energy: -33.8 eV for the cell shown


Entry 11:
An optimized crystal structure of Zr2GaP3O12, computed with PBE-GGA.

Cell lengths 9.4127, 9.4127, 9.4127 Å; angles 55.54, 55.54, 55.54 degrees
Atoms (fractional coordinates):
Zr: 0.1489 0.1489 0.1489
Zr: 0.3511 0.3511 0.3511
Zr: 0.6489 0.6489 0.6489
Zr: 0.8511 0.8511 0.8511
Ga: 0.0000 0.0000 0.0000
Ga: 0.5000 0.5000 0.5000
P: 0.0392 0.7500 0.4608
P: 0.2500 0.5392 0.9608
P: 0.4608 0.0392 0.7500
P: 0.5392 0.9608 0.2500
P: 0.7500 0.4608 0.0392
P: 0.9608 0.2500 0.5392
O: 0.0126 0.7641 0.6296
O: 0.0688 0.9224 0.2892
O: 0.0776 0.7108 0.9312
O: 0.1296 0.2641 0.5126
O: 0.2108 0.5776 0.4312
O: 0.2359 0.3704 0.9874
O: 0.2641 0.5126 0.1296
O: 0.2892 0.0688 0.9224
O: 0.3704 0.9874 0.2359
O: 0.4224 0.5688 0.7892
O: 0.4312 0.2108 0.5776
O: 0.4874 0.8704 0.7359
O: 0.5126 0.1296 0.2641
O: 0.5688 0.7892 0.4224
O: 0.5776 0.4312 0.2108
O: 0.6296 0.0126 0.7641
O: 0.7108 0.9312 0.0776
O: 0.7359 0.4874 0.8704
O: 0.7641 0.6296 0.0126
O: 0.7892 0.4224 0.5688
O: 0.8704 0.7359 0.4874
O: 0.9224 0.2892 0.0688
O: 0.9312 0.0776 0.7108
O: 0.9874 0.2359 0.3704

Output
total energy: -283.7 eV for the cell shown


Entry 12:
An optimized crystal structure of Pa2Ga2O5, computed with PBE-GGA.

Cell lengths 4.2986, 4.2986, 8.5930 Å; angles 90.00, 90.00, 90.00 degrees
Atoms (fractional coordinates):
Pa: 0.0000 0.0000 0.2476
Pa: 0.0000 0.0000 0.7524
Ga: 0.5000 0.5000 0.0000
Ga: 0.5000 0.5000 0.5000
O: 0.0000 0.0000 0.5000
O: 0.0000 0.5000 0.2695
O: 0.0000 0.5000 0.7305
O: 0.5000 0.0000 0.2695
O: 0.5000 0.0000 0.7305

Output
total energy: -66.3 eV for the cell shown


Entry 13:
An optimized crystal structure of Ga2PdO4, computed with PBE-GGA.

Cell lengths 5.2479, 10.0869, 5.5568 Å; angles 90.00, 90.00, 90.00 degrees
Atoms (fractional coordinates):
Ga: 0.0149 0.1598 0.0516
Ga: 0.0149 0.3402 0.5516
Ga: 0.4851 0.6598 0.0516
Ga: 0.4851 0.8402 0.5516
Ga: 0.5149 0.1598 0.4484
Ga: 0.5149 0.3402 0.9484
Ga: 0.9851 0.6598 0.4484
Ga: 0.9851 0.8402 0.9484
Pd: 0.0000 0.0000 0.5000
Pd: 0.0000 0.5000 0.0000
Pd: 0.5000 0.0000 0.0000
Pd: 0.5000 0.5000 0.5000
O: 0.1498 0.5157 0.6613
O: 0.1498 0.9843 0.1613
O: 0.2047 0.2359 0.3356
O: 0.2047 0.2641 0.8356
O: 0.2953 0.7359 0.3356
O: 0.2953 0.7641 0.8356
O: 0.3502 0.0157 0.6613
O: 0.3502 0.4843 0.1613
O: 0.6498 0.5157 0.8387
O: 0.6498 0.9843 0.3387
O: 0.7047 0.2359 0.1644
O: 0.7047 0.2641 0.6644
O: 0.7953 0.7359 0.1644
O: 0.7953 0.7641 0.6644
O: 0.8502 0.0157 0.8387
O: 0.8502 0.4843 0.3387

Output
ΔE to the lowest computed polymorph: 0.0000 eV per atom
total energy: -159.2 eV for the cell shown


Entry 14:
An optimized crystal structure of GaPdO3, computed with PBE-GGA.

Cell lengths 5.3293, 7.6529, 5.0538 Å; angles 90.00, 90.00, 90.00 degrees
Atoms (fractional coordinates):
Ga: 0.0000 0.0000 0.0000
Ga: 0.0000 0.5000 0.0000
Ga: 0.5000 0.0000 0.5000
Ga: 0.5000 0.5000 0.5000
Pd: 0.0756 0.2500 0.4830
Pd: 0.4244 0.7500 0.9830
Pd: 0.5756 0.2500 0.0170
Pd: 0.9244 0.7500 0.5170
O: 0.0708 0.7500 0.1451
O: 0.2162 0.5842 0.7090
O: 0.2162 0.9158 0.7090
O: 0.2838 0.0842 0.2090
O: 0.2838 0.4158 0.2090
O: 0.4292 0.2500 0.6451
O: 0.5708 0.7500 0.3549
O: 0.7162 0.5842 0.7910
O: 0.7162 0.9158 0.7910
O: 0.7838 0.0842 0.2910
O: 0.7838 0.4158 0.2910
O: 0.9292 0.2500 0.8549

Output
total energy: -108.4 eV for the cell shown


Entry 15:
An optimized crystal structure of Ga2PdO4, computed with PBE-GGA.

Cell lengths 6.0561, 6.0561, 6.0561 Å; angles 60.00, 60.00, 60.00 degrees
Atoms (fractional coordinates):
Ga: 0.0000 0.0000 0.0000
Ga: 0.0000 0.0000 0.5000
Ga: 0.0000 0.5000 0.0000
Ga: 0.5000 0.0000 0.0000
Pd: 0.3750 0.3750 0.3750
Pd: 0.6250 0.6250 0.6250
O: 0.1994 0.7669 0.7669
O: 0.2331 0.2331 0.2331
O: 0.2331 0.2331 0.8006
O: 0.2331 0.8006 0.2331
O: 0.7669 0.1994 0.7669
O: 0.7669 0.7669 0.1994
O: 0.7669 0.7669 0.7669
O: 0.8006 0.2331 0.2331

Output
ΔE to the lowest computed polymorph: 0.0765 eV per atom
total energy: -78.5 eV for the cell shown


Entry 16:
An optimized crystal structure of GaPd2O4, computed with PBE-GGA.

Cell lengths 6.1519, 6.1519, 6.1519 Å; angles 60.00, 60.00, 60.00 degrees
Atoms (fractional coordinates):
Ga: 0.1250 0.1250 0.1250
Ga: 0.8750 0.8750 0.8750
Pd: 0.0000 0.5000 0.5000
Pd: 0.5000 0.0000 0.5000
Pd: 0.5000 0.5000 0.0000
Pd: 0.5000 0.5000 0.5000
O: 0.2516 0.2516 0.2516
O: 0.2516 0.2516 0.7452
O: 0.2516 0.7452 0.2516
O: 0.2548 0.7484 0.7484
O: 0.7452 0.2516 0.2516
O: 0.7484 0.2548 0.7484
O: 0.7484 0.7484 0.2548
O: 0.7484 0.7484 0.7484

Output
total energy: -75.2 eV for the cell shown


Entry 17:
An optimized crystal structure of Ga2PdO4, computed with PBE-GGA.

Cell lengths 8.1193, 8.1193, 5.5191 Å; angles 90.00, 90.00, 90.00 degrees
Atoms (fractional coordinates):
Ga: 0.0031 0.5031 0.2500
Ga: 0.0031 0.9969 0.7500
Ga: 0.4969 0.5031 0.7500
Ga: 0.4969 0.9969 0.2500
Ga: 0.5031 0.0031 0.7500
Ga: 0.5031 0.4969 0.2500
Ga: 0.9969 0.0031 0.2500
Ga: 0.9969 0.4969 0.7500
Pd: 0.2500 0.2500 0.0020
Pd: 0.2500 0.2500 0.5020
Pd: 0.7500 0.7500 0.4980
Pd: 0.7500 0.7500 0.9980
O: 0.0126 0.1615 0.5034
O: 0.0126 0.3385 0.0034
O: 0.1615 0.0126 0.0034
O: 0.1615 0.4874 0.5034
O: 0.3385 0.0126 0.5034
O: 0.3385 0.4874 0.0034
O: 0.4874 0.1615 0.0034
O: 0.4874 0.3385 0.5034
O: 0.5126 0.6615 0.4966
O: 0.5126 0.8385 0.9966
O: 0.6615 0.5126 0.9966
O: 0.6615 0.9874 0.4966
O: 0.8385 0.5126 0.4966
O: 0.8385 0.9874 0.9966
O: 0.9874 0.6615 0.9966
O: 0.9874 0.8385 0.4966

Output
ΔE to the lowest computed polymorph: 0.0007 eV per atom
total energy: -159.1 eV for the cell shown


Entry 18:
An optimized crystal structure of PmGaO3, computed with PBE-GGA.

Cell lengths 5.5645, 7.6986, 5.3892 Å; angles 90.00, 90.00, 90.00 degrees
Atoms (fractional coordinates):
Pm: 0.0559 0.2500 0.0144
Pm: 0.4441 0.7500 0.5144
Pm: 0.5559 0.2500 0.4856
Pm: 0.9441 0.7500 0.9856
Ga: 0.0000 0.0000 0.5000
Ga: 0.0000 0.5000 0.5000
Ga: 0.5000 0.0000 0.0000
Ga: 0.5000 0.5000 0.0000
O: 0.0232 0.7500 0.4101
O: 0.2043 0.5476 0.7960
O: 0.2043 0.9524 0.7960
O: 0.2957 0.0476 0.2960
O: 0.2957 0.4524 0.2960
O: 0.4768 0.2500 0.9101
O: 0.5232 0.7500 0.0899
O: 0.7043 0.5476 0.7040
O: 0.7043 0.9524 0.7040
O: 0.7957 0.0476 0.2040
O: 0.7957 0.4524 0.2040
O: 0.9768 0.2500 0.5899

Output
total energy: -143.6 eV for the cell shown


Entry 19:
An optimized crystal structure of PmGaO3, computed with PBE-GGA.

Cell lengths 6.2017, 6.2017, 6.2017 Å; angles 54.47, 54.47, 54.47 degrees
Atoms (fractional coordinates):
Pm: 0.0000 0.0000 0.0000
Pm: 0.5000 0.5000 0.5000
Ga: 0.2500 0.2500 0.2500
Ga: 0.7500 0.7500 0.7500
O: 0.0667 0.7500 0.4333
O: 0.2500 0.5667 0.9333
O: 0.4333 0.0667 0.7500
O: 0.5667 0.9333 0.2500
O: 0.7500 0.4333 0.0667
O: 0.9333 0.2500 0.5667

Output
total energy: -70.5 eV for the cell shown